Computed, not measured: a geometry-optimized DyNbH3 structure at the GGA-PBE level of DFT.

abc: 3.7786 3.7786 3.7786
angles: 90.00 90.00 90.00
Element x y z (fractional)
Dy1 0.0000 0.0000 0.0000
Nb1 0.5000 0.5000 0.5000
H1 0.0000 0.5000 0.5000
H2 0.5000 0.0000 0.5000
H3 0.5000 0.5000 0.0000

ρ = 8.0 Mg/m³
Space group = Pm-3m (221)



Computed, not measured: a geometry-optimized Cs2TaVFe structure at the GGA-PBE level of DFT.

abc: 6.7554 6.7554 3.8852
angles: 90.00 90.00 90.00
Element x y z (fractional)
Cs1 0.0000 0.5000 0.0000
Cs2 0.5000 0.0000 0.0000
Ta1 0.0000 0.0000 0.5000
V1 0.5000 0.5000 0.5000
Fe1 0.5000 0.5000 0.0000

ρ = 5.2 Mg/m³
Space group = P4/mmm (123)
DFT formation energy = 2.196 eV/atom



Values of E, in order: -5.265; -4.033, all in eV/atom.